Record 1
First-principles (PBE-GGA) data for an optimized crystal structure of K3NaU3S8, as listed in the Alexandria database.

Values from the calculation:
formation energy without anion corrections	-1.3893	eV/atom

Cell: 8.0876 8.0876 22.1460 Å, 90.00 90.00 120.00°
Space group R-3m (No. 166, hexagonal axes)
Inequivalent atoms, fractional coordinates:
1 K 0.0000 0.5000 0.0000
2 Na 0.0000 0.0000 0.5000
3 U 0.0000 0.5000 0.5000
4 S 0.0000 0.0000 0.2343
5 S 0.0225 0.5113 0.7681

---

Record 2
First-principles (PBE-GGA) data for an optimized crystal structure of CeTh3C8, as listed in the Alexandria database.

Values from the calculation:
formation energy	0.1021	eV/atom

Cell: 9.924 9.947 8.080 Å, 90.00 90.00 90.00°
Space group Fmm2 (No. 42)
Inequivalent atoms, fractional coordinates:
1 Ce 0.000 0.000 0.000
2 Th 0.000 0.000 0.498
3 Th 0.250 0.250 0.249
4 C 0.000 0.162 0.247
5 C 0.000 0.242 0.632
6 C 0.162 0.000 0.750
7 C 0.241 0.000 0.364

---

Record 3
First-principles (PBE-GGA) data for an optimized crystal structure of TeOsPtN2, as listed in the Alexandria database.

Values from the calculation:
formation energy without anion corrections	1.7227	eV/atom
energy above the lowest structure with this stoichiometry	1051.2	meV per atom

Cell: 3.755 3.755 7.756 Å, 90.00 90.00 90.00°
Space group P4/mmm (No. 123)
Inequivalent atoms, fractional coordinates:
1 Te 0.000 0.000 0.000
2 Os 0.500 0.500 0.000
3 Pt 0.000 0.000 0.500
4 N 0.000 0.500 0.500

---

Record 4
First-principles (PBE-GGA) data for an optimized crystal structure of Ca2AlSi, as listed in the Alexandria database.

Values from the calculation:
formation energy without anion corrections	-0.2173	eV/atom

Cell: 3.324 4.267 6.650 Å, 90.00 90.00 90.00°
Space group Pmmm (No. 47)
Inequivalent atoms, fractional coordinates:
1 Ca 0.000 0.000 0.237
2 Al 0.500 0.500 0.500
3 Si 0.500 0.500 0.000

---

Record 5
First-principles (PBE-GGA) data for an optimized crystal structure of KCo2Br, as listed in the Alexandria database.

Values from the calculation:
formation energy without anion corrections	0.2202	eV/atom
energy above the lowest structure with this stoichiometry	0.0	meV per atom

Cell: 3.269 3.401 15.211 Å, 90.00 90.00 90.00°
Space group Amm2 (No. 38)
Inequivalent atoms, fractional coordinates:
1 K 0.000 0.000 0.000
2 Co 0.000 0.000 0.220
3 Co 0.500 0.000 0.675
4 Br 0.500 0.000 0.356

---

Record 6
First-principles (PBE-GGA) data for an optimized crystal structure of Np2ZnSi4Pt3, as listed in the Alexandria database.

Values from the calculation:
formation energy without anion corrections	-0.6383	eV/atom

Cell: 4.186 4.186 9.988 Å, 90.00 90.00 90.00°
Space group P-4m2 (No. 115)
Inequivalent atoms, fractional coordinates:
1 Np 0.000 0.500 0.250
2 Zn 0.000 0.000 0.500
3 Si 0.000 0.000 0.000
4 Si 0.000 0.500 0.639
5 Si 0.500 0.500 0.000
6 Pt 0.000 0.500 0.878
7 Pt 0.500 0.500 0.500

---

Record 7
First-principles (PBE-GGA) data for an optimized crystal structure of SrTmAgSe3, as listed in the Alexandria database.

Values from the calculation:
formation energy without anion corrections	-1.5063	eV/atom

Cell: 8.387 4.157 9.345 Å, 90.00 104.65 90.00°
Space group P2_1/m (No. 11)
Inequivalent atoms, fractional coordinates:
1 Sr 0.202 0.250 0.247
2 Tm 0.323 0.750 0.836
3 Ag 0.091 0.250 0.588
4 Se 0.099 0.250 0.873
5 Se 0.265 0.750 0.521
6 Se 0.439 0.750 0.152

---

Record 8
First-principles (PBE-GGA) data for an optimized crystal structure of K2TmCd2Se4, as listed in the Alexandria database.

Values from the calculation:
formation energy without anion corrections	-1.0838	eV/atom

Cell: 16.624 4.152 8.340 Å, 90.00 114.42 90.00°
Space group C2/m (No. 12)
Inequivalent atoms, fractional coordinates:
1 K 0.126 0.000 0.061
2 Tm 0.000 0.000 0.500
3 Cd 0.187 0.500 0.518
4 Se 0.019 0.500 0.276
5 Se 0.186 0.000 0.729

---

Record 9
First-principles (PBE-GGA) data for an optimized crystal structure of HfAgCl2, as listed in the Alexandria database.

Values from the calculation:
formation energy without anion corrections	-0.4295	eV/atom
energy above the lowest structure with this stoichiometry	402.4	meV per atom

Cell: 9.140 9.140 5.627 Å, 90.00 90.00 90.00°
Space group I-42d (No. 122)
Inequivalent atoms, fractional coordinates:
1 Hf 0.000 0.000 0.000
2 Ag 0.000 0.000 0.500
3 Cl 0.086 0.250 0.125

---

Record 10
First-principles (PBE-GGA) data for an optimized crystal structure of Tb8SiTe3Se3, as listed in the Alexandria database.

Values from the calculation:
formation energy without anion corrections	-1.3545	eV/atom

Cell: 8.3393 8.3393 21.1080 Å, 90.00 90.00 120.00°
Space group R-3m (No. 166, hexagonal axes)
Inequivalent atoms, fractional coordinates:
1 Tb 0.0000 0.0000 0.2390
2 Tb 0.0066 0.5033 0.2402
3 Si 0.0000 0.0000 0.5000
4 Te 0.0000 0.5000 0.0000
5 Se 0.0000 0.5000 0.5000

---

Record 11
First-principles (PBE-GGA) data for an optimized crystal structure of NbGeN2, as listed in the Alexandria database.

Values from the calculation:
formation energy without anion corrections	-0.2981	eV/atom

Cell: 3.1031 3.1031 19.4293 Å, 90.00 90.00 120.00°
Space group R-3m (No. 166, hexagonal axes)
Inequivalent atoms, fractional coordinates:
1 Nb 0.0000 0.0000 0.0000
2 Ge 0.0000 0.0000 0.5000
3 N 0.0000 0.0000 0.3920

---

Record 12
First-principles (PBE-GGA) data for an optimized crystal structure of Co3BiIr, as listed in the Alexandria database.

Values from the calculation:
formation energy	2.0240	eV/atom
energy above the lowest structure with this stoichiometry	949.8	meV per atom

Cell: 4.648 4.648 4.648 Å, 90.00 90.00 90.00°
Space group Pm-3m (No. 221)
Inequivalent atoms, fractional coordinates:
1 Co 0.000 0.000 0.500
2 Bi 0.000 0.000 0.000
3 Ir 0.500 0.500 0.500

---

Record 13
First-principles (PBE-GGA) data for an optimized crystal structure of Na2AgSb2, as listed in the Alexandria database.

Values from the calculation:
formation energy without anion corrections	-0.2739	eV/atom
energy above the lowest structure with this stoichiometry	0.0	meV per atom

Cell: 11.642 4.791 11.169 Å, 90.00 117.99 90.00°
Space group C2/m (No. 12)
Inequivalent atoms, fractional coordinates:
1 Na 0.003 0.000 0.324
2 Na 0.185 0.000 0.103
3 Ag 0.221 0.500 0.347
4 Sb 0.021 0.500 0.884
5 Sb 0.138 0.500 0.562

---

Record 14
First-principles (PBE-GGA) data for an optimized crystal structure of Y2CdTcB, as listed in the Alexandria database.

Values from the calculation:
formation energy	-0.1867	eV/atom

Cell: 5.139 5.139 4.030 Å, 90.00 90.00 90.00°
Space group P4/mmm (No. 123)
Inequivalent atoms, fractional coordinates:
1 Y 0.000 0.500 0.000
2 Cd 0.000 0.000 0.500
3 Tc 0.500 0.500 0.500
4 B 0.500 0.500 0.000

---

Record 15
First-principles (PBE-GGA) data for an optimized crystal structure of NaCe2As, as listed in the Alexandria database.

Values from the calculation:
formation energy	-0.3444	eV/atom

Cell: 3.8727 3.8727 33.1059 Å, 90.00 90.00 120.00°
Space group R-3m (No. 166, hexagonal axes)
Inequivalent atoms, fractional coordinates:
1 Na 0.0000 0.0000 0.0000
2 Ce 0.0000 0.0000 0.1122
3 As 0.0000 0.0000 0.5000

---

Record 16
First-principles (PBE-GGA) data for an optimized crystal structure of La2HgIrAu, as listed in the Alexandria database.

Values from the calculation:
formation energy	-0.6314	eV/atom

Cell: 8.168 4.290 8.625 Å, 90.00 116.69 90.00°
Space group P2_1/m (No. 11)
Inequivalent atoms, fractional coordinates:
1 La 0.111 0.250 0.332
2 La 0.316 0.750 0.069
3 Hg 0.438 0.750 0.616
4 Ir 0.053 0.250 0.917
5 Au 0.246 0.250 0.734

---

Record 17
First-principles (PBE-GGA) data for an optimized crystal structure of Tm8Ag2Pd, as listed in the Alexandria database.

Values from the calculation:
formation energy	-0.2553	eV/atom

Cell: 17.289 5.139 6.779 Å, 90.00 107.42 90.00°
Space group C2/m (No. 12)
Inequivalent atoms, fractional coordinates:
1 Tm 0.027 0.000 0.283
2 Tm 0.092 0.500 0.942
3 Tm 0.162 0.500 0.469
4 Tm 0.200 0.000 0.810
5 Ag 0.184 0.000 0.218
6 Pd 0.000 0.500 0.500

---

Record 18
First-principles (PBE-GGA) data for an optimized crystal structure of As2PPt, as listed in the Alexandria database.

Values from the calculation:
formation energy	0.1934	eV/atom

Cell: 3.299 3.299 6.789 Å, 90.00 90.00 90.00°
Space group P4mm (No. 99)
Inequivalent atoms, fractional coordinates:
1 As 0.000 0.000 0.000
2 As 0.500 0.500 0.409
3 P 0.000 0.000 0.569
4 Pt 0.500 0.500 0.817

---

Record 19
First-principles (PBE-GGA) data for an optimized crystal structure of Zn2ReTc2, as listed in the Alexandria database.

Values from the calculation:
formation energy	0.4043	eV/atom
energy above the lowest structure with this stoichiometry	0.0	meV per atom

Cell: 6.773 6.773 3.112 Å, 90.00 90.00 90.00°
Space group P4/mbm (No. 127)
Inequivalent atoms, fractional coordinates:
1 Zn 0.126 0.374 0.000
2 Re 0.000 0.000 0.000
3 Tc 0.174 0.674 0.500

---

Record 20
First-principles (PBE-GGA) data for an optimized crystal structure of BeIr2Ru, as listed in the Alexandria database.

Values from the calculation:
formation energy	-0.0571	eV/atom

Cell: 3.725 3.725 7.632 Å, 90.00 90.00 90.00°
Space group I-4m2 (No. 119)
Inequivalent atoms, fractional coordinates:
1 Be 0.000 0.000 0.000
2 Ir 0.000 0.000 0.500
3 Ir 0.000 0.500 0.750
4 Ru 0.000 0.500 0.250